# 1
Entry from Alexandria: a crystal of La2YAs relaxed with PBEsol (meta-GGA SCAN).

Summary:
- space group = P4/mmm
- ΔE_f (eV/atom) = -0.6588
- raw total energy (eV/atom) = -34.2197
- magnetic moment (μB/cell) = 2.342

a b c (Å): 3.927 3.927 7.465
angles (deg): 90.00 90.00 90.00
Atoms (fractional coordinates):
La  0.000  0.000  0.202
La  0.000  0.000  0.798
Y  0.500  0.500  0.500
As  0.500  0.500  0.000

=====

# 2
Entry from Alexandria: a crystal of ZnReCl2 relaxed with PBEsol (meta-GGA SCAN).

Summary:
- space group = P4/mmm
- raw total energy (eV/atom) = -23.9860
- relative energy among the computed polymorphs (meV/atom) = 1090
- magnetic moment (μB/cell) = 2.396

a b c (Å): 4.049 4.049 3.814
angles (deg): 90.00 90.00 90.00
Atoms (fractional coordinates):
Zn  0.000  0.000  0.000
Re  0.500  0.500  0.000
Cl  0.000  0.500  0.500
Cl  0.500  0.000  0.500

=====

# 3
Entry from Alexandria: a crystal of LiLaTa relaxed with PBEsol (meta-GGA SCAN).

Summary:
- space group = F-43m
- ΔE_f (eV/atom) = 1.2122
- raw total energy (eV/atom) = -36.1472
- magnetic moment (μB/cell) = 1.359

a b c (Å): 4.695 4.695 4.695
angles (deg): 60.00 60.00 60.00
Atoms (fractional coordinates):
Li  0.000  0.000  0.000
La  0.500  0.500  0.500
Ta  0.250  0.250  0.250

=====

# 4
Entry from Alexandria: a crystal of MgPt2W relaxed with PBEsol (meta-GGA SCAN).

Summary:
- space group = Fm-3m
- ΔE_f (eV/atom) = -0.2507
- raw total energy (eV/atom) = -54.0127
- magnetic moment (μB/cell) = 0.000

a b c (Å): 4.454 4.454 4.454
angles (deg): 60.00 60.00 60.00
Atoms (fractional coordinates):
Mg  0.000  0.000  0.000
Pt  0.250  0.250  0.250
Pt  0.750  0.750  0.750
W  0.500  0.500  0.500

=====

# 5
Entry from Alexandria: a crystal of Li2IrCl relaxed with PBEsol (meta-GGA SCAN).

Summary:
- space group = P4mm
- raw total energy (eV/atom) = -21.2519
- magnetic moment (μB/cell) = 1.057

a b c (Å): 2.962 2.962 6.859
angles (deg): 90.00 90.00 90.00
Atoms (fractional coordinates):
Li  0.000  0.000  0.000
Li  0.500  0.500  0.240
Ir  0.500  0.500  0.787
Cl  0.000  0.000  0.345

=====

# 6
Entry from Alexandria: a crystal of LiRu2Cl relaxed with PBEsol (meta-GGA SCAN).

Summary:
- space group = P4/mmm
- raw total energy (eV/atom) = -19.2429
- relative energy among the computed polymorphs (meV/atom) = 875
- magnetic moment (μB/cell) = 0.001

a b c (Å): 2.970 2.970 5.688
angles (deg): 90.00 90.00 90.00
Atoms (fractional coordinates):
Li  0.000  0.000  0.000
Ru  0.500  0.500  0.235
Ru  0.500  0.500  0.765
Cl  0.000  0.000  0.500

=====

# 7
Entry from Alexandria: a crystal of YH2Au2 relaxed with PBEsol (meta-GGA SCAN).

Summary:
- space group = I4/mmm
- raw total energy (eV/atom) = -34.8814
- magnetic moment (μB/cell) = 0.000

a b c (Å): 5.175 5.175 5.175
angles (deg): 135.50 135.50 64.75
Atoms (fractional coordinates):
Y  0.000  0.000  0.000
H  0.250  0.750  0.500
H  0.750  0.250  0.500
Au  0.342  0.342  0.000
Au  0.658  0.658  0.000

=====

# 8
Entry from Alexandria: a crystal of CoNiHg2 relaxed with PBEsol (meta-GGA SCAN).

Summary:
- space group = F-43m
- ΔE_f (eV/atom) = 0.4516
- raw total energy (eV/atom) = -42.0008
- relative energy among the computed polymorphs (meV/atom) = 89
- magnetic moment (μB/cell) = 2.200

a b c (Å): 4.436 4.436 4.436
angles (deg): 60.00 60.00 60.00
Atoms (fractional coordinates):
Co  0.000  0.000  0.000
Ni  0.250  0.250  0.250
Hg  0.500  0.500  0.500
Hg  0.750  0.750  0.750

=====

# 9
Entry from Alexandria: a crystal of Co2BiSe2 relaxed with PBEsol (meta-GGA SCAN).

Summary:
- space group = I4/mmm
- raw total energy (eV/atom) = -30.6643
- magnetic moment (μB/cell) = 0.000

a b c (Å): 8.512 8.512 8.512
angles (deg): 156.46 156.46 33.54
Atoms (fractional coordinates):
Co  0.250  0.750  0.500
Co  0.750  0.250  0.500
Bi  0.000  0.000  0.000
Se  0.341  0.341  0.000
Se  0.659  0.659  0.000

=====

# 10
Entry from Alexandria: a crystal of SrI2N2 relaxed with PBEsol (meta-GGA SCAN).

Summary:
- space group = P4/mmm
- raw total energy (eV/atom) = -21.8775
- magnetic moment (μB/cell) = 1.649

a b c (Å): 4.341 4.341 6.644
angles (deg): 90.00 90.00 90.00
Atoms (fractional coordinates):
Sr  0.000  0.000  0.000
I  0.500  0.500  0.000
I  0.500  0.500  0.500
N  0.000  0.500  0.500
N  0.500  0.000  0.500

=====

# 11
Entry from Alexandria: a crystal of ScInTeN2 relaxed with PBEsol (meta-GGA SCAN).

Summary:
- space group = P4/mmm
- raw total energy (eV/atom) = -20.3007
- magnetic moment (μB/cell) = 2.871

a b c (Å): 4.142 4.142 5.879
angles (deg): 90.00 90.00 90.00
Atoms (fractional coordinates):
Sc  0.000  0.000  0.000
In  0.500  0.500  0.500
Te  0.000  0.000  0.500
N  0.000  0.500  0.000
N  0.500  0.000  0.000

=====

# 12
Entry from Alexandria: a crystal of YMg2W relaxed with PBEsol (meta-GGA SCAN).

Summary:
- space group = P2/m
- ΔE_f (eV/atom) = 0.4720
- raw total energy (eV/atom) = -26.3975
- relative energy among the computed polymorphs (meV/atom) = 0
- magnetic moment (μB/cell) = 0.068

a b c (Å): 2.860 5.110 5.647
angles (deg): 90.00 98.32 90.00
Atoms (fractional coordinates):
Y  0.000  0.000  0.000
Mg  0.285  0.500  0.725
Mg  0.715  0.500  0.275
W  0.500  0.000  0.500

=====

# 13
Entry from Alexandria: a crystal of GdCd2 relaxed with PBEsol (meta-GGA SCAN).

Summary:
- space group = P6/mmm
- ΔE_f (eV/atom) = -0.4190
- raw total energy (eV/atom) = -40.3005
- magnetic moment (μB/cell) = 7.775

a b c (Å): 4.925 4.925 3.335
angles (deg): 90.00 90.00 120.00
Atoms (fractional coordinates):
Gd  0.000  0.000  0.000
Cd  0.333  0.667  0.500
Cd  0.667  0.333  0.500

=====

# 14
Entry from Alexandria: a crystal of Ta2Co3 relaxed with PBEsol (meta-GGA SCAN).

Summary:
- space group = P-3m1
- ΔE_f (eV/atom) = 0.2512
- raw total energy (eV/atom) = -36.7647
- relative energy among the computed polymorphs (meV/atom) = 337
- magnetic moment (μB/cell) = 1.576

a b c (Å): 4.095 4.095 4.992
angles (deg): 90.00 90.00 120.00
Atoms (fractional coordinates):
Ta  0.333  0.667  0.301
Ta  0.667  0.333  0.699
Co  0.000  0.000  0.500
Co  0.333  0.667  0.811
Co  0.667  0.333  0.189

=====

# 15
Entry from Alexandria: a crystal of Ni3Mo3C relaxed with PBEsol (meta-GGA SCAN).

Summary:
- space group = Fd-3m
- ΔE_f (eV/atom) = -0.0206
- raw total energy (eV/atom) = -23.3457
- magnetic moment (μB/cell) = 0.008

a b c (Å): 7.724 7.724 7.724
angles (deg): 60.00 60.00 60.00
Atoms (fractional coordinates):
Ni  0.000  0.000  0.000
Ni  0.000  0.000  0.500
Ni  0.000  0.500  0.000
Ni  0.125  0.792  0.792
Ni  0.208  0.208  0.208
Ni  0.208  0.208  0.875
Ni  0.208  0.875  0.208
Ni  0.500  0.000  0.000
Ni  0.792  0.125  0.792
Ni  0.792  0.792  0.125
Ni  0.792  0.792  0.792
Ni  0.875  0.208  0.208
Mo  0.172  0.172  0.578
Mo  0.172  0.578  0.172
Mo  0.172  0.578  0.578
Mo  0.422  0.422  0.828
Mo  0.422  0.828  0.422
Mo  0.422  0.828  0.828
Mo  0.578  0.172  0.172
Mo  0.578  0.172  0.578
Mo  0.578  0.578  0.172
Mo  0.828  0.422  0.422
Mo  0.828  0.422  0.828
Mo  0.828  0.828  0.422
C  0.000  0.500  0.500
C  0.500  0.000  0.500
C  0.500  0.500  0.000
C  0.500  0.500  0.500

=====

# 16
Entry from Alexandria: a crystal of TiFeSi relaxed with PBEsol (meta-GGA SCAN).

Summary:
- space group = P-62m
- raw total energy (eV/atom) = -15.3402
- magnetic moment (μB/cell) = 0.006

a b c (Å): 6.146 6.146 3.462
angles (deg): 90.00 90.00 120.00
Atoms (fractional coordinates):
Ti  0.000  0.419  0.000
Ti  0.419  0.000  0.000
Ti  0.581  0.581  0.000
Fe  0.000  0.756  0.500
Fe  0.244  0.244  0.500
Fe  0.756  0.000  0.500
Si  0.000  0.000  0.000
Si  0.333  0.667  0.500
Si  0.667  0.333  0.500

=====

# 17
Entry from Alexandria: a crystal of ZrRhW3 relaxed with PBEsol (meta-GGA SCAN).

Summary:
- space group = Pm-3m
- ΔE_f (eV/atom) = 1.6016
- raw total energy (eV/atom) = -53.1053
- magnetic moment (μB/cell) = 0.000

a b c (Å): 4.659 4.659 4.659
angles (deg): 90.00 90.00 90.00
Atoms (fractional coordinates):
Zr  0.000  0.000  0.000
Rh  0.500  0.500  0.500
W  0.000  0.500  0.500
W  0.500  0.000  0.500
W  0.500  0.500  0.000

=====

# 18
Entry from Alexandria: a crystal of Y5Zn3 relaxed with PBEsol (meta-GGA SCAN).

Summary:
- space group = P6_3/mcm
- ΔE_f (eV/atom) = -0.2629
- raw total energy (eV/atom) = -22.7329
- relative energy among the computed polymorphs (meV/atom) = 8
- magnetic moment (μB/cell) = 0.000

a b c (Å): 8.618 8.618 6.097
angles (deg): 90.00 90.00 120.00
Atoms (fractional coordinates):
Y  0.000  0.242  0.250
Y  0.000  0.758  0.750
Y  0.242  0.000  0.250
Y  0.242  0.242  0.750
Y  0.333  0.667  0.000
Y  0.333  0.667  0.500
Y  0.667  0.333  0.000
Y  0.667  0.333  0.500
Y  0.758  0.000  0.750
Y  0.758  0.758  0.250
Zn  0.000  0.402  0.750
Zn  0.000  0.598  0.250
Zn  0.402  0.000  0.750
Zn  0.402  0.402  0.250
Zn  0.598  0.000  0.250
Zn  0.598  0.598  0.750

=====

# 19
Entry from Alexandria: a crystal of InHC2I relaxed with PBEsol (meta-GGA SCAN).

Summary:
- space group = P4/mmm
- raw total energy (eV/atom) = -16.0703
- magnetic moment (μB/cell) = 0.000

a b c (Å): 4.331 4.331 3.695
angles (deg): 90.00 90.00 90.00
Atoms (fractional coordinates):
In  0.000  0.000  0.000
H  0.500  0.500  0.500
C  0.000  0.500  0.500
C  0.500  0.000  0.500
I  0.500  0.500  0.000

=====

# 20
Entry from Alexandria: a crystal of Na3Ti2P3O12 relaxed with PBEsol (meta-GGA SCAN).

Summary:
- space group = R-3
- raw total energy (eV/atom) = -10.2201
- magnetic moment (μB/cell) = 4.000

a b c (Å): 8.994 8.994 8.994
angles (deg): 59.23 59.23 59.23
Atoms (fractional coordinates):
Na  0.137  0.389  0.751
Na  0.249  0.863  0.611
Na  0.389  0.751  0.137
Na  0.611  0.249  0.863
Na  0.751  0.137  0.389
Na  0.863  0.611  0.249
Ti  0.149  0.149  0.149
Ti  0.352  0.352  0.352
Ti  0.648  0.648  0.648
Ti  0.851  0.851  0.851
P  0.039  0.748  0.462
P  0.252  0.538  0.961
P  0.462  0.039  0.748
P  0.538  0.961  0.252
P  0.748  0.462  0.039
P  0.961  0.252  0.538
O  0.017  0.754  0.642
O  0.059  0.927  0.300
O  0.073  0.700  0.941
O  0.131  0.276  0.513
O  0.215  0.584  0.424
O  0.246  0.358  0.983
O  0.276  0.513  0.131
O  0.300  0.059  0.927
O  0.358  0.983  0.246
O  0.416  0.576  0.785
O  0.424  0.215  0.584
O  0.487  0.869  0.724
O  0.513  0.131  0.276
O  0.576  0.785  0.416
O  0.584  0.424  0.215
O  0.642  0.017  0.754
O  0.700  0.941  0.073
O  0.724  0.487  0.869
O  0.754  0.642  0.017
O  0.785  0.416  0.576
O  0.869  0.724  0.487
O  0.927  0.300  0.059
O  0.941  0.073  0.700
O  0.983  0.246  0.358

=====

# 21
Entry from Alexandria: a crystal of KYSeS2 relaxed with PBEsol (meta-GGA SCAN).

Summary:
- space group = P4/mmm
- raw total energy (eV/atom) = -15.4481
- magnetic moment (μB/cell) = 0.000

a b c (Å): 5.371 5.371 5.044
angles (deg): 90.00 90.00 90.00
Atoms (fractional coordinates):
K  0.000  0.000  0.000
Y  0.500  0.500  0.000
Se  0.500  0.500  0.500
S  0.000  0.500  0.500
S  0.500  0.000  0.500

=====

# 22
Entry from Alexandria: a crystal of P2SNCl relaxed with PBEsol (meta-GGA SCAN).

Summary:
- space group = P4/mmm
- raw total energy (eV/atom) = -8.1413
- relative energy among the computed polymorphs (meV/atom) = 0
- magnetic moment (μB/cell) = 0.001

a b c (Å): 4.230 4.230 3.994
angles (deg): 90.00 90.00 90.00
Atoms (fractional coordinates):
P  0.000  0.500  0.000
P  0.500  0.000  0.000
S  0.000  0.000  0.500
N  0.500  0.500  0.000
Cl  0.500  0.500  0.500

=====

# 23
Entry from Alexandria: a crystal of TlSbP relaxed with PBEsol (meta-GGA SCAN).

Summary:
- space group = P3m1
- raw total energy (eV/atom) = -39.8825
- magnetic moment (μB/cell) = 0.000

a b c (Å): 3.655 3.655 6.670
angles (deg): 90.00 90.00 120.00
Atoms (fractional coordinates):
Tl  0.000  0.000  0.000
Sb  0.667  0.333  0.427
P  0.333  0.667  0.656

=====

# 24
Entry from Alexandria: a crystal of Zn2HF relaxed with PBEsol (meta-GGA SCAN).

Summary:
- space group = Fm-3m
- raw total energy (eV/atom) = -8.5580
- magnetic moment (μB/cell) = 0.000

a b c (Å): 3.983 3.983 3.983
angles (deg): 60.00 60.00 60.00
Atoms (fractional coordinates):
Zn  0.250  0.250  0.250
Zn  0.750  0.750  0.750
H  0.000  0.000  0.000
F  0.500  0.500  0.500

=====

# 25
Entry from Alexandria: a crystal of TcAsRh relaxed with PBEsol (meta-GGA SCAN).

Summary:
- space group = P3m1
- ΔE_f (eV/atom) = -0.0492
- raw total energy (eV/atom) = -29.7232
- relative energy among the computed polymorphs (meV/atom) = 0
- magnetic moment (μB/cell) = 0.834

a b c (Å): 4.174 4.174 2.819
angles (deg): 90.00 90.00 120.00
Atoms (fractional coordinates):
Tc  0.000  0.000  0.000
As  0.333  0.667  0.228
Rh  0.667  0.333  0.502

=====

# 26
Entry from Alexandria: a crystal of AlNiIr2 relaxed with PBEsol (meta-GGA SCAN).

Summary:
- space group = F-43m
- ΔE_f (eV/atom) = -0.1936
- raw total energy (eV/atom) = -41.7245
- magnetic moment (μB/cell) = 0.003

a b c (Å): 4.227 4.227 4.227
angles (deg): 60.00 60.00 60.00
Atoms (fractional coordinates):
Al  0.000  0.000  0.000
Ni  0.750  0.750  0.750
Ir  0.250  0.250  0.250
Ir  0.500  0.500  0.500